# 1
PmZn2Hg: relaxed, PBE-GGA.

a b c (Å): 6.915 6.915 6.915
angles (deg): 90.00 90.00 90.00
Space group Fm-3m (No. 225)
Unique sites:
Pm 0.000 0.000 0.000 (multiplicity 4)
Zn 0.250 0.250 0.250 (multiplicity 8)
Hg 0.000 0.000 0.500 (multiplicity 4)

Calculated values
The calculation puts the energy above the most stable polymorph in this dataset at 7 meV per atom. The energy of formation from the pure elements comes out at -0.2895 eV/atom. For the volume, the calculation gives 20.67 Å³ per atom. Its density of states at the Fermi level is 9.131 states/eV/cell.

---

# 2
PmZrHg2: relaxed, PBE-GGA.

a b c (Å): 7.345 7.345 7.345
angles (deg): 90.00 90.00 90.00
Space group Fm-3m (No. 225)
Unique sites:
Pm 0.000 0.000 0.000 (multiplicity 4)
Zr 0.000 0.000 0.500 (multiplicity 4)
Hg 0.250 0.250 0.250 (multiplicity 8)

Calculated values
The calculation puts the energy above the most stable polymorph in this dataset at 43 meV per atom. The energy of formation from the pure elements comes out at -0.2222 eV/atom. For the volume, the calculation gives 24.77 Å³ per atom. Its density of states at the Fermi level is 18.071 states/eV/cell.

---

# 3
Pm4ZrHg5: relaxed, PBE-GGA.

a b c (Å): 3.741 3.741 18.890
angles (deg): 90.00 90.00 90.00
Space group P4/mmm (No. 123)
Unique sites:
Pm 0.000 0.000 0.104 (multiplicity 2)
Pm 0.000 0.000 0.311 (multiplicity 2)
Zr 0.000 0.000 0.500 (multiplicity 1)
Hg 0.500 0.500 0.000 (multiplicity 1)
Hg 0.500 0.500 0.207 (multiplicity 2)
Hg 0.500 0.500 0.415 (multiplicity 2)

Calculated values
The energy of formation from the pure elements comes out at -0.3837 eV/atom. For the volume, the calculation gives 26.43 Å³ per atom. Its density of states at the Fermi level is 12.738 states/eV/cell.

---

# 4
PmZrHg2: relaxed, PBE-GGA.

a b c (Å): 3.627 3.627 7.479
angles (deg): 90.00 90.00 90.00
Space group P4/mmm (No. 123)
Unique sites:
Pm 0.000 0.000 0.000 (multiplicity 1)
Zr 0.000 0.000 0.500 (multiplicity 1)
Hg 0.500 0.500 0.276 (multiplicity 2)

Calculated values
The calculation puts the energy above the most stable polymorph in this dataset at 0 meV per atom. The energy of formation from the pure elements comes out at -0.2647 eV/atom. For the volume, the calculation gives 24.60 Å³ per atom. Its density of states at the Fermi level is 4.715 states/eV/cell.

---

# 5
PmZr2Hg: relaxed, PBE-GGA.

a b c (Å): 4.591 4.591 4.585
angles (deg): 90.00 90.00 90.00
Space group P4/mmm (No. 123)
Unique sites:
Pm 0.000 0.000 0.000 (multiplicity 1)
Zr 0.000 0.500 0.500 (multiplicity 2)
Hg 0.500 0.500 0.000 (multiplicity 1)

Calculated values
The calculation puts the energy above the most stable polymorph in this dataset at 0 meV per atom. The energy of formation from the pure elements comes out at -0.0283 eV/atom. For the volume, the calculation gives 24.16 Å³ per atom. Its density of states at the Fermi level is 4.543 states/eV/cell.

---

# 6
PmZrHg6: relaxed, PBE-GGA.

a b c (Å): 4.715 4.715 8.584
angles (deg): 90.00 90.00 90.00
Space group P4/mmm (No. 123)
Unique sites:
Pm 0.000 0.000 0.000 (multiplicity 1)
Zr 0.000 0.000 0.500 (multiplicity 1)
Hg 0.000 0.500 0.264 (multiplicity 4)
Hg 0.500 0.500 0.000 (multiplicity 1)
Hg 0.500 0.500 0.500 (multiplicity 1)

Calculated values
The energy of formation from the pure elements comes out at -0.1854 eV/atom. For the volume, the calculation gives 23.86 Å³ per atom. Its density of states at the Fermi level is 7.704 states/eV/cell.

---

# 7
PmZr2Hg: relaxed, PBE-GGA.

a b c (Å): 3.1925 3.1925 34.4090
angles (deg): 90.00 90.00 120.00
Space group R-3m (No. 166, hexagonal axes)
Unique sites:
Pm 0.0000 0.0000 0.0000 (multiplicity 3)
Zr 0.0000 0.0000 0.0935 (multiplicity 6)
Hg 0.0000 0.0000 0.5000 (multiplicity 3)

Calculated values
The calculation puts the energy above the most stable polymorph in this dataset at 276 meV per atom. The energy of formation from the pure elements comes out at 0.2473 eV/atom. For the volume, the calculation gives 25.31 Å³ per atom. Its density of states at the Fermi level is 15.792 states/eV/cell.

---

# 8
PmZrHg2: relaxed, PBE-GGA.

a b c (Å): 4.778 4.778 4.265
angles (deg): 90.00 90.00 90.00
Space group P4/mmm (No. 123)
Unique sites:
Pm 0.000 0.000 0.000 (multiplicity 1)
Zr 0.500 0.500 0.000 (multiplicity 1)
Hg 0.000 0.500 0.500 (multiplicity 2)

Calculated values
The calculation puts the energy above the most stable polymorph in this dataset at 45 meV per atom. The energy of formation from the pure elements comes out at -0.2193 eV/atom. For the volume, the calculation gives 24.34 Å³ per atom. Its density of states at the Fermi level is 4.113 states/eV/cell.

---

# 9
Pm5Zr3Hg12: relaxed, PBE-GGA.

a b c (Å): 17.209 17.209 17.209
angles (deg): 90.00 90.00 90.00
Space group Ia-3d (No. 230)
Unique sites:
Pm 0.000 0.000 0.000 (multiplicity 16)
Pm 0.000 0.250 0.375 (multiplicity 24)
Zr 0.000 0.250 0.125 (multiplicity 24)
Hg 0.005 0.080 0.654 (multiplicity 96)

Calculated values
The energy of formation from the pure elements comes out at 0.1441 eV/atom. For the volume, the calculation gives 31.85 Å³ per atom. Its density of states at the Fermi level is 127.579 states/eV/cell.

---

# 10
PrHg5: relaxed, PBE-GGA.

a b c (Å): 4.575 13.720 4.949
angles (deg): 90.00 90.00 90.00
Space group Cmmm (No. 65)
Unique sites:
Pr 0.000 0.000 0.000 (multiplicity 2)
Hg 0.000 0.166 0.500 (multiplicity 4)
Hg 0.000 0.329 0.000 (multiplicity 4)
Hg 0.000 0.500 0.500 (multiplicity 2)

Calculated values
The energy of formation from the pure elements comes out at -0.2591 eV/atom. For the volume, the calculation gives 25.89 Å³ per atom. Its density of states at the Fermi level is 6.351 states/eV/cell.

---

We obtain VASP energy values of -2.190, -3.698, -3.290, -3.740, -5.565, -2.074, -5.290, -3.695, -2.507, -1.307 eV per atom for the records listed above, in that order.